RbGa2Hg | PBE | optimized geometry

abc: 10.807 10.807 10.807
angles: 151.98 151.98 40.04
Fractional coordinates of all 8 atoms:
Rb 0.000 0.000 0.000
Rb 0.750 0.250 0.500
Ga 0.373 0.125 0.748
Ga 0.375 0.627 0.752
Ga 0.377 0.625 0.252
Ga 0.875 0.623 0.248
Hg 0.250 0.750 0.500
Hg 0.500 0.500 0.000

Properties
E_form: 0.03 eV/atom
DOS(E_F): 4.8 states/eV per cell
Total moment: 0.0 Bohr magnetons per cell
V: 34.8 Å³/atom
Crystal system: tetragonal